Entry from the Alexandria database: an optimized crystal structure of Be2BiRh2 (GGA-PBE).

abc: 6.833 6.833 3.031
angles: 90.00 90.00 90.00
Sites, in units of the cell vectors:
Be 0.615 0.115 0.000
Rh 0.156 0.656 0.500
Rh 0.656 0.844 0.500
Rh 0.344 0.156 0.500
Rh 0.844 0.344 0.500
Be 0.115 0.385 0.000
Bi 0.000 0.000 0.000
Be 0.885 0.615 0.000
Bi 0.500 0.500 0.000
Be 0.385 0.885 0.000

## Properties
Energy above the lowest structure with this stoichiometry: 0 meV per atom
E: -53.4 eV/cell
Formation enthalpy at 0 K: -0.137 eV/atom
Space-group type: P4/mbm

Entry from the Alexandria database: an optimized crystal structure of LiCaErNi (GGA-PBE).

abc: 4.952 4.952 4.952
angles: 60.00 60.00 60.00
Sites, in units of the cell vectors:
Li 0.500 0.500 0.500
Er 0.250 0.250 0.250
Ni 0.000 0.000 0.000
Ca 0.750 0.750 0.750

## Properties
E: -14.4 eV/cell
Formation enthalpy at 0 K: -0.032 eV/atom
Space-group type: F-43m

> Which formula does entry 1 have?

Be2BiRh2